Entry 1:
First-principles (GGA-PBE) data for Er2TlZn after structural relaxation, as listed in Alexandria.

Structure (POSCAR):
```
Er2TlZn
1.0
0.000 3.663 3.663
3.663 0.000 3.663
3.663 3.663 0.000
Er Tl Zn
2 1 1
Cartesian
1.832 1.832 1.832
5.495 5.495 5.495
0.000 0.000 0.000
3.663 3.663 3.663
```

Output
DFT total energy (eV for the cell shown): -14.03
Total moment (μB per atom): 0.00
Energy relative to the elements (eV/f.u.): -1.3

---

Entry 2:
First-principles (GGA-PBE) data for PmGaTeO6 after structural relaxation, as listed in Alexandria.

Structure (POSCAR):
```
PmGaTeO6
1.0
5.194 0.000 0.000
-2.597 4.498 0.000
0.000 0.000 10.195
Pm Ga Te O
2 2 2 12
Cartesian
0.000 0.000 0.000
0.000 0.000 5.097
0.000 2.999 2.549
2.597 1.499 7.646
0.000 2.999 7.646
2.597 1.499 2.549
-0.921 1.672 6.548
-1.610 2.865 8.744
0.921 1.672 8.744
-0.689 4.460 6.548
1.908 0.039 1.451
0.987 1.633 3.647
1.610 2.865 6.548
0.689 4.460 8.744
3.286 0.039 3.647
1.676 2.826 1.451
4.207 1.633 1.451
3.518 2.826 3.647
```

Output
DFT total energy (eV for the cell shown): -117.54
Total moment (μB per atom): 0.00
Energy relative to the elements, uncorrected (meV/atom): -2011

---

Entry 3:
First-principles (GGA-PBE) data for NaCa2Ga2 after structural relaxation, as listed in Alexandria.

Structure (POSCAR):
```
NaCa2Ga2
1.0
-1.921 1.921 10.744
1.921 -1.921 10.744
1.921 1.921 -10.744
Na Ca Ga
1 2 2
Cartesian
0.000 0.000 0.000
0.000 0.000 7.950
0.000 0.000 13.538
1.921 0.000 5.372
0.000 1.921 5.372
```

Output
DFT total energy (eV for the cell shown): -11.69
Total moment (μB per atom): 0.00
Energy relative to the elements (eV/f.u.): -0.3
Distance to the lowest polymorph of the same formula (meV/atom): 243